No. 1
An optimized crystal structure of DyTh2Pt, computed with PBE.

Structure (POSCAR):
```
DyTh2Pt
1.0
-1.760 -3.238 -0.362
2.066 -0.791 -2.970
5.588 -3.577 4.839
Pt Th Dy
1 2 1
Direct
0.500 0.500 0.000
0.000 0.000 0.795
0.000 0.000 0.205
0.500 0.500 0.500
```

Calculated values
Energy   -6.83 eV per atom
SG   P4/mmm, No. 123


No. 2
An optimized crystal structure of Ta2GaCuH, computed with PBE.

Structure (POSCAR):
```
Ta2GaCuH
1.0
-0.778 3.450 -1.838
-1.346 -1.996 -3.176
-3.826 0.001 1.621
H Cu Ga Ta
1 1 1 2
Direct
0.000 0.000 0.000
0.000 0.000 0.500
0.500 0.500 0.500
0.000 0.500 0.000
0.500 0.000 0.000
```

Calculated values
Energy   -6.88 eV per atom
SG   P4/mmm, No. 123


No. 3
An optimized crystal structure of CrCSe2N, computed with PBE.

Structure (POSCAR):
```
CrCSe2N
1.0
-5.384 -1.973 0.348
1.847 -5.275 -1.326
0.338 -0.493 2.434
Cr C Se N
1 1 2 1
Direct
0.500 0.500 0.500
0.000 0.000 0.000
0.000 0.500 0.000
0.500 0.000 0.000
0.000 0.000 0.500
```

Calculated values
Energy   -5.97 eV per atom
SG   P4/mmm, No. 123


The lowest energy belongs to which entry? Ta2GaCuH


Which of these has the highest energy? CrCSe2N


The lowest energy belongs to which entry? Ta2GaCuH